[1]
Here is YAgCl2 after structural relaxation from Alexandria. Energies are from PBE.

Cell: 10.8471 10.8471 10.8471 Å, 18.89 18.89 18.89°
Each line ends with the local moment (μB).
Positions (direct):
1 Y 0.2500 0.2500 0.2500  0.17
2 Ag 0.7500 0.7500 0.7500  0.00
3 Cl 0.9718 0.9718 0.9718  0.01
4 Cl 0.5282 0.5282 0.5282  0.01

- space-group type = R-3m
- size of the total moment (Bohr magnetons per cell) = 0.33
- relative energy among the computed polymorphs (eV per atom) = 0.143
- E_form (uncorrected) (meV per atom) = -1103

---

[2]
Here is YAgCl3 after structural relaxation from Alexandria. Energies are from PBE.

Cell: 5.3096 5.3096 5.3096 Å, 90.00 90.00 90.00°
Each line ends with the local moment (μB).
Positions (direct):
1 Y 0.0000 0.0000 0.0000  0.00
2 Ag 0.5000 0.5000 0.5000  0.23
3 Cl 0.0000 0.5000 0.0000  0.03
4 Cl 0.0000 0.0000 0.5000  0.02
5 Cl 0.5000 0.0000 0.0000  0.01

- space-group type = Pm-3m
- size of the total moment (Bohr magnetons per cell) = 0.79
- relative energy among the computed polymorphs (eV per atom) = 0.000
- E_form (uncorrected) (meV per atom) = -1281

---

[3]
Here is YAgCl2 after structural relaxation from Alexandria. Energies are from PBE.

Cell: 5.2229 5.2229 5.2229 Å, 128.24 128.24 76.23°
Positions (direct):
1 Y 0.2500 0.7500 0.5000
2 Ag 0.7500 0.2500 0.5000
3 Cl 0.0000 0.0000 0.0000
4 Cl 0.5000 0.5000 0.0000

- space-group type = I4/mmm
- size of the total moment (Bohr magnetons per cell) = 0.00
- relative energy among the computed polymorphs (eV per atom) = 0.329
- E_form (uncorrected) (meV per atom) = -916